1.
## PuBW2 (PBE)

Data for a relaxed PuBW2 crystal.

Values from the calculation:
Mass density = 15.28 g/cm3
Space group = R-3m, No. 166

Lattice parameters (Å, degrees): 3.1086 3.1086 24.2500 90.00 90.00 120.00
Closest atoms and distances in Å follow each position.
Positions (direct):
Pu 0.0000 0.0000 0.0000  2 W 2.83, 6 Pu 3.11
Pu 0.3333 0.6667 0.6667  2 W 2.83, 6 Pu 3.11
Pu 0.6667 0.3333 0.3333  2 W 2.83, 6 Pu 3.11
B 0.0000 0.0000 0.5000  6 W 2.17
B 0.3333 0.6667 0.1667  6 W 2.17
B 0.6667 0.3333 0.8333  6 W 2.17
W 0.0000 0.0000 0.1166  3 B 2.17
W 0.0000 0.0000 0.8834  3 B 2.17
W 0.3333 0.6667 0.5500  3 B 2.17
W 0.3333 0.6667 0.7833  3 B 2.17
W 0.6667 0.3333 0.2167  3 B 2.17
W 0.6667 0.3333 0.4500  3 B 2.17

***

2.
## PuB4W (PBE)

Data for a relaxed PuB4W crystal.

Values from the calculation:
Mass density = 12.23 g/cm3
Space group = Pbam, No. 55

Lattice parameters (Å, degrees): 6.0336 11.6819 3.6306 90.00 90.00 90.00
Closest atoms and distances in Å follow each position.
Positions (direct):
Pu 0.1260 0.1505 0.0000  14 B 2.68-2.82
Pu 0.3740 0.6505 0.0000  14 B 2.68-2.82
Pu 0.6260 0.3495 0.0000  14 B 2.68-2.82
Pu 0.8740 0.8495 0.0000  14 B 2.68-2.82
B 0.0249 0.6928 0.5000  3 B 1.78-1.89
B 0.1154 0.5474 0.5000  3 B 1.78
B 0.1335 0.9678 0.5000  3 B 1.78-1.87
B 0.2119 0.8130 0.5000  3 B 1.80-1.89
B 0.2881 0.3130 0.5000  3 B 1.80-1.89
B 0.3665 0.4678 0.5000  3 B 1.78-1.87
B 0.3846 0.0474 0.5000  3 B 1.78
B 0.4751 0.1928 0.5000  3 B 1.78-1.89
B 0.5249 0.8072 0.5000  3 B 1.78-1.89
B 0.6154 0.9526 0.5000  3 B 1.78
B 0.6335 0.5322 0.5000  3 B 1.78-1.87
B 0.7119 0.6870 0.5000  3 B 1.80-1.89
B 0.7881 0.1870 0.5000  3 B 1.80-1.89
B 0.8665 0.0322 0.5000  3 B 1.78-1.87
B 0.8846 0.4526 0.5000  3 B 1.78
B 0.9751 0.3072 0.5000  3 B 1.78-1.89
W 0.1326 0.4136 0.0000  10 B 2.36-2.40, 1 W 2.58
W 0.3674 0.9136 0.0000  10 B 2.36-2.40, 1 W 2.58
W 0.6326 0.0864 0.0000  10 B 2.36-2.40, 1 W 2.58
W 0.8674 0.5864 0.0000  10 B 2.36-2.40, 1 W 2.58

***

3.
## PuBW (PBE)

Data for a relaxed PuBW crystal.

Values from the calculation:
Mass density = 17.24 g/cm3
Space group = Pnma, No. 62

Lattice parameters (Å, degrees): 7.1011 3.2680 7.2846 90.00 90.00 90.00
Closest atoms and distances in Å follow each position.
Positions (direct):
Pu 0.0260 0.2500 0.1155  2 Pu 2.37
Pu 0.4740 0.7500 0.6155  2 Pu 2.37
Pu 0.5260 0.2500 0.3845  2 Pu 2.37
Pu 0.9740 0.7500 0.8845  2 Pu 2.37
B 0.1980 0.7500 0.3554  4 W 2.31-2.42
B 0.3020 0.2500 0.8554  4 W 2.31-2.42
B 0.6980 0.7500 0.1446  4 W 2.31-2.42
B 0.8020 0.2500 0.6446  4 W 2.31-2.42
W 0.1291 0.2500 0.5695  4 B 2.31-2.42
W 0.3709 0.7500 0.0695  4 B 2.31-2.42
W 0.6291 0.2500 0.9305  4 B 2.31-2.42
W 0.8709 0.7500 0.4305  4 B 2.31-2.42

***

4.
## YPuB12 (PBE)

Data for a relaxed YPuB12 crystal.

Values from the calculation:
Mass density = 5.55 g/cm3
Space group = P4/mmm, No. 123

Lattice parameters (Å, degrees): 4.1052 4.1052 8.2109 90.00 90.00 90.00
Closest atoms and distances in Å follow each position.
Positions (direct):
Y 0.0000 0.0000 0.0000  24 B 3.01-3.02
Pu 0.0000 0.0000 0.5000  24 B 3.02
B 0.1988 0.5000 0.2494  5 B 1.63-1.75
B 0.1988 0.5000 0.7506  5 B 1.63-1.75
B 0.5000 0.1988 0.2494  5 B 1.63-1.75
B 0.5000 0.1988 0.7506  5 B 1.63-1.75
B 0.5000 0.5000 0.0993  5 B 1.63-1.75
B 0.5000 0.5000 0.4005  5 B 1.63-1.75
B 0.5000 0.5000 0.5995  5 B 1.63-1.75
B 0.5000 0.5000 0.9007  5 B 1.63-1.75
B 0.5000 0.8012 0.2494  5 B 1.63-1.75
B 0.5000 0.8012 0.7506  5 B 1.63-1.75
B 0.8012 0.5000 0.2494  5 B 1.63-1.75
B 0.8012 0.5000 0.7506  5 B 1.63-1.75

***

5.
## PuZrB12 (PBE)

Data for a relaxed PuZrB12 crystal.

Values from the calculation:
Mass density = 5.67 g/cm3
Space group = P4/mmm, No. 123

Lattice parameters (Å, degrees): 4.0880 4.0880 8.1533 90.00 90.00 90.00
Closest atoms and distances in Å follow each position.
Positions (direct):
Pu 0.0000 0.0000 0.0000  24 B 3.00-3.01
Zr 0.0000 0.0000 0.5000  24 B 2.98-3.00
B 0.1984 0.5000 0.2527  5 B 1.62-1.75
B 0.1984 0.5000 0.7473  5 B 1.62-1.75
B 0.5000 0.1984 0.2527  5 B 1.62-1.75
B 0.5000 0.1984 0.7473  5 B 1.62-1.75
B 0.5000 0.5000 0.1003  5 B 1.64-1.75
B 0.5000 0.5000 0.4022  5 B 1.59-1.73
B 0.5000 0.5000 0.5978  5 B 1.59-1.73
B 0.5000 0.5000 0.8997  5 B 1.64-1.75
B 0.5000 0.8016 0.2527  5 B 1.62-1.75
B 0.5000 0.8016 0.7473  5 B 1.62-1.75
B 0.8016 0.5000 0.2527  5 B 1.62-1.75
B 0.8016 0.5000 0.7473  5 B 1.62-1.75

***

6.
## PuZr2B6 (PBE)

Data for a relaxed PuZr2B6 crystal.

Values from the calculation:
Mass density = 8.28 g/cm3
Space group = P6/mmm, No. 191

Lattice parameters (Å, degrees): 5.5381 5.5381 3.7100 90.00 90.00 120.00
Closest atoms and distances in Å follow each position.
Positions (direct):
Pu 0.0000 0.0000 0.0000  12 B 2.62
Zr 0.3333 0.6667 0.0000  12 B 2.61
Zr 0.6667 0.3333 0.0000  12 B 2.61
B 0.0000 0.3347 0.5000  3 B 1.83-1.85
B 0.0000 0.6653 0.5000  3 B 1.83-1.85
B 0.3347 0.0000 0.5000  3 B 1.83-1.85
B 0.3347 0.3347 0.5000  3 B 1.83-1.85
B 0.6653 0.0000 0.5000  3 B 1.83-1.85
B 0.6653 0.6653 0.5000  3 B 1.83-1.85

***

7.
## PuZrB4 (PBE)

Data for a relaxed PuZrB4 crystal.

Values from the calculation:
Mass density = 9.20 g/cm3
Space group = Cmmm, No. 65

Lattice parameters (Å, degrees): 6.1459 6.1459 3.7200 90.00 90.00 103.50
Closest atoms and distances in Å follow each position.
Positions (direct):
Pu 0.1499 0.1499 0.0000  1 Pu 2.28, 8 B 2.51-2.53
Pu 0.8501 0.8501 0.0000  1 Pu 2.28, 8 B 2.51-2.53
Zr 0.3280 0.6720 0.0000  10 B 2.65-2.79
Zr 0.6720 0.3280 0.0000  10 B 2.65-2.79
B 0.0631 0.3894 0.5000  2 B 1.72-1.75
B 0.1317 0.8683 0.5000  2 B 1.75
B 0.3811 0.3811 0.5000  3 B 1.81-1.97
B 0.3894 0.0631 0.5000  2 B 1.72-1.75
B 0.6106 0.9369 0.5000  2 B 1.72-1.75
B 0.6189 0.6189 0.5000  3 B 1.81-1.97
B 0.8683 0.1317 0.5000  2 B 1.75
B 0.9369 0.6106 0.5000  2 B 1.72-1.75

***

8.
## RbB (PBE)

Data for a relaxed RbB crystal.

Values from the calculation:
Excess energy over the best structure of this formula in the dataset = 1.988 eV/atom
Mass density = 1.53 g/cm3
Space group = F-43m, No. 216

Lattice parameters (Å, degrees): 7.4813 7.4813 7.4813 90.00 90.00 90.00
Closest atoms and distances in Å follow each position.
Positions (direct):
Rb 0.0000 0.0000 0.0000  4 B 3.24
Rb 0.0000 0.5000 0.5000  4 B 3.24
Rb 0.5000 0.0000 0.5000  4 B 3.24
Rb 0.5000 0.5000 0.0000  4 B 3.24
B 0.2500 0.2500 0.2500  4 Rb 3.24
B 0.2500 0.7500 0.7500  4 Rb 3.24
B 0.7500 0.2500 0.7500  4 Rb 3.24
B 0.7500 0.7500 0.2500  4 Rb 3.24

***

9.
## RbB (PBE)

Data for a relaxed RbB crystal.

Values from the calculation:
Excess energy over the best structure of this formula in the dataset = 0.052 eV/atom
Mass density = 2.44 g/cm3
Space group = P6_3/mmc, No. 194

Lattice parameters (Å, degrees): 11.8289 11.8289 3.2377 90.00 90.00 120.00
Closest atoms and distances in Å follow each position.
Positions (direct):
Rb 0.2057 0.4113 0.2500  6 B 3.12-3.47, 2 Rb 3.24
Rb 0.2057 0.7943 0.2500  6 B 3.12-3.47, 2 Rb 3.24
Rb 0.4113 0.2057 0.7500  6 B 3.12-3.47, 2 Rb 3.24
Rb 0.5887 0.7943 0.2500  6 B 3.12-3.47, 2 Rb 3.24
Rb 0.7943 0.2057 0.7500  6 B 3.12-3.47, 2 Rb 3.24
Rb 0.7943 0.5887 0.7500  6 B 3.12-3.47, 2 Rb 3.24
B 0.0042 0.5021 0.7500  2 B 1.62
B 0.4979 0.5021 0.7500  2 B 1.62
B 0.4979 0.9958 0.7500  2 B 1.62
B 0.5021 0.0042 0.2500  2 B 1.62
B 0.5021 0.4979 0.2500  2 B 1.62
B 0.9958 0.4979 0.2500  2 B 1.62

***

10.
## RbB4 (PBE)

Data for a relaxed RbB4 crystal.

Values from the calculation:
Mass density = 1.58 g/cm3
Space group = Pm-3m, No. 221

Lattice parameters (Å, degrees): 5.1314 5.1314 5.1314 90.00 90.00 90.00
Closest atoms and distances in Å follow each position.
Positions (direct):
Rb 0.0000 0.0000 0.0000  6 B 2.57
B 0.0000 0.0000 0.5000  2 Rb 2.57
B 0.0000 0.5000 0.0000  2 Rb 2.57
B 0.5000 0.0000 0.0000  2 Rb 2.57
B 0.5000 0.5000 0.5000  12 B 3.63

***

| no. | calculated formation energy (meV/atom) | M_tot (μB per atom) |
| --- | --- | --- |
| 1 | 403.0 | 1.55 |
| 2 | -488.9 | 0.80 |
| 3 | 24.3 | 0.00 |
| 4 | -394.3 | 0.39 |
| 5 | -206.9 | 0.40 |
| 6 | -722.4 | 0.51 |
| 7 | -200.6 | 0.45 |
| 8 | 2293.9 | 1.00 |
| 9 | 357.6 | 0.00 |
| 10 | 4257.2 | 0.29 |